No. 1
The following is a GGA-PBE calculation of an optimized crystal structure of Sr2SbHPt6, from the Alexandria database.

Output
- Total moment: 0.00 μB/cell
- Uncorrected energy: -52.6 eV/cell
- Space-group type: R-3m (166)
- Calculated density: 12.96 g/cm3

Unit cell a=5.8482 b=7.1940 c=7.1939 alpha=47.96 beta=66.02 gamma=90.00
Closest atoms and distances in Å follow each position.
Element x y z (fractional)
Sb 0.5000 0.5000 0.0000  6 Pt 2.66
Pt 0.7727 0.2273 0.9456  1 H 2.04
H 0.0000 0.0000 0.0000  6 Pt 2.04
Pt 0.2817 0.2274 0.9455  1 H 2.04
Pt 0.2273 0.7727 0.0544  1 H 2.04
Sr 0.2176 0.7824 0.5648  9 Pt 3.13-3.50
Sr 0.7824 0.2176 0.4352  9 Pt 3.13-3.50
Pt 0.2273 0.2816 0.5455  1 H 2.04
Pt 0.7727 0.7184 0.4545  1 H 2.04
Pt 0.7183 0.7726 0.0545  1 H 2.04

---

No. 2
The following is a GGA-PBE calculation of an optimized crystal structure of Ti2SbHPt, from the Alexandria database.

Output
- Total moment: 0.00 μB/cell
- Uncorrected energy: -31.8 eV/cell
- Space-group type: P4/mmm (123)
- Calculated density: 9.75 g/cm3

Unit cell a=4.0899 b=4.0899 c=4.2113 alpha=90.00 beta=90.00 gamma=90.00
Closest atoms and distances in Å follow each position.
Element x y z (fractional)
Sb 0.5000 0.5000 0.5000  4 Pt 2.89, 8 Ti 2.94
Ti 0.0000 0.5000 0.0000  2 H 2.04
Pt 0.0000 0.0000 0.5000  2 H 2.11
H 0.0000 0.0000 0.0000  4 Ti 2.04, 2 Pt 2.11
Ti 0.5000 0.0000 0.0000  2 H 2.04

---

No. 3
The following is a GGA-PBE calculation of an optimized crystal structure of ZnSbHPt2, from the Alexandria database.

Output
- Total moment: 0.00 μB/cell
- Uncorrected energy: -19.8 eV/cell
- Space-group type: P4/mmm (123)
- Calculated density: 12.17 g/cm3

Unit cell a=4.9898 b=3.1707 c=4.9898 alpha=90.00 beta=90.00 gamma=90.00
Closest atoms and distances in Å follow each position.
Element x y z (fractional)
Pt 0.5000 0.0000 0.0000  2 Zn 2.49
Zn 0.0000 0.0000 0.0000  2 H 1.59
Pt 0.0000 0.0000 0.5000  2 Zn 2.49
Sb 0.5000 0.5000 0.5000  8 Pt 2.96, 2 Sb 3.17
H 0.0000 0.5000 0.0000  2 Zn 1.59

---

No. 4
The following is a GGA-PBE calculation of an optimized crystal structure of ZrSbH2Pt, from the Alexandria database.

Output
- Total moment: 0.00 μB/cell
- Uncorrected energy: -24.8 eV/cell
- Space-group type: P4/mmm (123)
- Calculated density: 8.37 g/cm3

Unit cell a=3.9057 b=5.3354 c=3.9057 alpha=90.00 beta=90.00 gamma=90.00
Closest atoms and distances in Å follow each position.
Element x y z (fractional)
H 0.0000 0.0000 0.5000  2 Pt 1.95
Zr 0.5000 0.5000 0.5000  4 Sb 2.76
H 0.5000 0.0000 0.0000  2 Pt 1.95
Pt 0.0000 0.0000 0.0000  4 H 1.95
Sb 0.0000 0.5000 0.0000  2 Pt 2.67, 4 Zr 2.76

---

No. 5
The following is a GGA-PBE calculation of an optimized crystal structure of ScHPt2, from the Alexandria database.

Output
- Total moment: 0.00 μB/cell
- Space-group type: R-3m (166)
- Calculated density: 12.87 g/cm3
- Energy above the most stable polymorph in this dataset: 0.6368 eV per atom

Unit cell a=2.8845 b=2.8845 c=7.9853 alpha=79.59 beta=79.59 gamma=60.00
Closest atoms and distances in Å follow each position.
Element x y z (fractional)
Pt 0.1103 0.1103 0.6692  3 H 2.13
Sc 0.0000 0.0000 0.0000  2 Pt 2.58, 6 Sc 2.88
Pt 0.8897 0.8897 0.3308  3 H 2.13
H 0.5000 0.5000 0.5000  6 Pt 2.13

---

No. 6
The following is a GGA-PBE calculation of an optimized crystal structure of Sc2H2Pt, from the Alexandria database.

Output
- Total moment: 0.00 μB/cell
- Space-group type: P4/mmm (123)
- Calculated density: 7.40 g/cm3
- Energy above the most stable polymorph in this dataset: 0.1737 eV per atom

Unit cell a=3.1661 b=3.1661 c=6.4245 alpha=90.00 beta=90.00 gamma=90.00
Closest atoms and distances in Å follow each position.
Element x y z (fractional)
H 0.5000 0.0000 0.5000  4 Sc 2.17, 4 H 2.24
Sc 0.5000 0.5000 0.2699  4 H 2.17
H 0.0000 0.5000 0.5000  4 Sc 2.17, 4 H 2.24
Sc 0.5000 0.5000 0.7301  4 H 2.17
Pt 0.0000 0.0000 0.0000  8 Sc 2.83, 4 Pt 3.17

---

No. 7
The following is a GGA-PBE calculation of an optimized crystal structure of Sc3HPt, from the Alexandria database.

Output
- Total moment: 0.00 μB/cell
- Space-group type: Pm-3m (221)
- Calculated density: 6.80 g/cm3
- Energy above the most stable polymorph in this dataset: 0.0233 eV per atom

Unit cell a=4.3242 b=4.3242 c=4.3242 alpha=90.00 beta=90.00 gamma=90.00
Closest atoms and distances in Å follow each position.
Element x y z (fractional)
Sc 0.5000 0.0000 0.0000  2 H 2.16
Sc 0.0000 0.5000 0.0000  2 H 2.16
Sc 0.0000 0.0000 0.5000  2 H 2.16
H 0.0000 0.0000 0.0000  6 Sc 2.16
Pt 0.5000 0.5000 0.5000  12 Sc 3.06

---

No. 8
The following is a GGA-PBE calculation of an optimized crystal structure of Sc2HPt6, from the Alexandria database.

Output
- Total moment: 0.00 μB/cell
- Uncorrected energy: -121.0 eV/cell
- Space-group type: I4/mmm (139)
- Calculated density: 15.93 g/cm3

Unit cell a=5.7087 b=5.7101 c=8.0657 alpha=90.00 beta=90.00 gamma=90.00
Closest atoms and distances in Å follow each position.
Element x y z (fractional)
Pt 0.7527 0.2474 0.0000  1 H 2.04
H 0.5000 0.5000 0.0000  6 Pt 2.04
Pt 0.2527 0.7474 0.5000  1 H 2.04
Pt 0.7473 0.2526 0.5000  1 H 2.04
Pt 0.7473 0.7474 0.5000  1 H 2.04
Sc 0.0000 0.5000 0.2501  12 Pt 2.85-2.86
Pt 0.0000 0.0000 0.7528  1 H 2.04
Pt 0.2473 0.2474 0.0000  1 H 2.04
Pt 0.0000 0.0000 0.2472  1 H 2.04
H 0.0000 0.0000 0.5000  6 Pt 2.04
Pt 0.2527 0.2526 0.5000  1 H 2.04
Pt 0.2473 0.7526 0.0000  1 H 2.04
Pt 0.5000 0.5000 0.2528  1 H 2.04
Sc 0.5000 0.0000 0.7501  12 Pt 2.85-2.86
Pt 0.7527 0.7526 0.0000  1 H 2.04
Sc 0.5000 0.0000 0.2499  12 Pt 2.85-2.86
Sc 0.0000 0.5000 0.7499  12 Pt 2.85-2.86
Pt 0.5000 0.5000 0.7472  1 H 2.04

---

No. 9
The following is a GGA-PBE calculation of an optimized crystal structure of Sc2H2Pt, from the Alexandria database.

Output
- Total moment: 0.00 μB/cell
- Space-group type: I4/mmm (139)
- Calculated density: 7.63 g/cm3
- Energy above the most stable polymorph in this dataset: 0.0000 eV per atom

Unit cell a=3.3022 b=3.3022 c=6.1872 alpha=74.52 beta=74.52 gamma=90.00
Closest atoms and distances in Å follow each position.
Element x y z (fractional)
Sc 0.6441 0.6441 0.7119  4 H 2.05
H 0.2500 0.7500 0.5000  4 Sc 2.05
Sc 0.3559 0.3559 0.2881  4 H 2.05
H 0.7500 0.2500 0.5000  4 Sc 2.05
Pt 0.0000 0.0000 0.0000  8 Sc 2.86

---

No. 10
The following is a GGA-PBE calculation of an optimized crystal structure of ScHPt3, from the Alexandria database.

Output
- Total moment: 0.00 μB/cell
- Space-group type: Pm-3m (221)
- Calculated density: 15.54 g/cm3
- Energy above the most stable polymorph in this dataset: 0.0281 eV per atom

Unit cell a=4.0710 b=4.0710 c=4.0710 alpha=90.00 beta=90.00 gamma=90.00
Closest atoms and distances in Å follow each position.
Element x y z (fractional)
Sc 0.5000 0.5000 0.5000  12 Pt 2.88
Pt 0.0000 0.5000 0.0000  2 H 2.04
Pt 0.5000 0.0000 0.0000  2 H 2.04
H 0.0000 0.0000 0.0000  6 Pt 2.04
Pt 0.0000 0.0000 0.5000  2 H 2.04

---

No. 11
The following is a GGA-PBE calculation of an optimized crystal structure of ScHPt3, from the Alexandria database.

Output
- Total moment: 0.00 μB/cell
- Space-group type: P1 (1)
- Calculated density: 15.37 g/cm3
- Energy above the most stable polymorph in this dataset: 0.0000 eV per atom

Unit cell a=5.7075 b=5.7466 c=5.8290 alpha=119.48 beta=119.96 gamma=89.96
Closest atoms and distances in Å follow each position.
Element x y z (fractional)
Pt 0.6180 0.9424 0.2042  1 H 1.77
Pt 0.1164 0.4435 0.7216  1 H 1.75
Sc 0.1288 0.9422 0.7192  1 H 2.19
Pt 0.6173 0.9331 0.7010  4 Sc 2.84-2.87, 8 Pt 2.87-2.93, 1 H 2.97
Pt 0.1177 0.9188 0.1920  1 H 1.76
Sc 0.6112 0.4261 0.6870  2 H 2.20-2.28
H 0.7877 0.6834 0.2022  2 Pt 1.77
H 0.1235 0.2727 0.3812  3 Pt 1.75-1.77
Pt 0.6178 0.4271 0.2043  1 H 1.77
Pt 0.1175 0.4384 0.1923  1 H 1.77

---

No. 12
The following is a GGA-PBE calculation of an optimized crystal structure of Sc3HPt, from the Alexandria database.

Output
- Total moment: 0.01 μB/cell
- Space-group type: Cmmm (65)
- Calculated density: 6.33 g/cm3
- Energy above the most stable polymorph in this dataset: 0.0000 eV per atom

Unit cell a=3.4453 b=7.2559 c=7.2599 alpha=73.21 beta=90.00 gamma=90.00
Closest atoms and distances in Å follow each position.
Element x y z (fractional)
Pt 0.3633 0.6941 0.7465  8 Sc 2.79
Sc 0.3632 0.0159 0.0678  2 H 2.32
Pt 0.8633 0.1939 0.2467  4 Sc 2.70
Sc 0.8633 0.3799 0.8076  2 H 2.31
Sc 0.8631 0.7557 0.4321  2 H 2.31
Sc 0.3633 0.3726 0.4249  2 H 2.32
Sc 0.8634 0.0084 0.6852  2 H 2.31
H 0.3628 0.6942 0.2464  6 Sc 2.31-2.32
H 0.3635 0.1942 0.7464  6 Sc 2.31-2.32
Sc 0.8632 0.6327 0.0608  2 H 2.31